Si4OsCl: relaxed, PBE.

Computed properties:
Magnetization ... 0.00 μB per formula unit
Total DFT energy (no corrections) ... -4.917 eV per atom

a b c (Å): 7.187 7.187 7.187
angles (deg): 90.00 90.00 90.00
Space group F-43m (No. 216)
Unique sites:
Si 0.125 0.125 0.125 [16 per cell]
Os 0.000 0.000 0.500 [4 per cell]
Cl 0.250 0.250 0.750 [4 per cell]